Computed, not measured: a geometry-optimized K2Zn3AgAu12 structure at the PBE level of DFT.

Summary:
The value obtained for the formation energy is 0.0913 eV per atom. The density of states at the Fermi level comes out at 0.35 states/eV per atom. For the electronic total energy, the calculation gives -46.55 eV per formula unit. The volume comes out at 443.1 Å³/f.u.

Unit cell a=8.570 b=8.570 c=8.570 alpha=59.80 beta=59.80 gamma=59.80
Fractional positions:
Au  0.122  0.122  0.617
Au  0.122  0.617  0.122
Au  0.637  0.123  0.637
Au  0.637  0.637  0.123
Au  0.363  0.877  0.363
Au  0.878  0.383  0.878
Au  0.383  0.878  0.878
Au  0.878  0.878  0.383
Au  0.877  0.363  0.363
Au  0.617  0.122  0.122
Au  0.363  0.363  0.877
Au  0.123  0.637  0.637
Zn  0.000  0.500  0.000
Zn  0.500  0.000  0.000
Zn  0.000  0.000  0.500
Ag  0.000  0.000  0.000
K  0.620  0.620  0.620
K  0.380  0.380  0.380

Computed, not measured: a geometry-optimized LaAg2Au8 structure at the PBE level of DFT.

Summary:
The value obtained for the formation energy is -0.0567 eV per atom. The density of states at the Fermi level comes out at 0.34 states/eV per atom. For the electronic total energy, the calculation gives -37.47 eV per formula unit. The volume comes out at 271.9 Å³/f.u.

Unit cell a=5.525 b=5.525 c=8.909 alpha=90.00 beta=90.00 gamma=90.00
Fractional positions:
Au  0.753  0.247  0.236
Au  0.753  0.753  0.764
Au  0.247  0.247  0.236
Au  0.753  0.247  0.764
Au  0.247  0.753  0.236
Au  0.247  0.247  0.764
Au  0.753  0.753  0.236
Au  0.247  0.753  0.764
Ag  0.500  0.000  0.000
Ag  0.000  0.500  0.000
La  0.500  0.500  0.500

Computed, not measured: a geometry-optimized La2AgAu structure at the PBE level of DFT.

Summary:
The value obtained for the formation energy is -0.5362 eV per atom. The density of states at the Fermi level comes out at 0.87 states/eV per atom. For the electronic total energy, the calculation gives -18.13 eV per formula unit. The volume comes out at 113.3 Å³/f.u.

Unit cell a=4.919 b=3.989 c=5.990 alpha=74.57 beta=90.00 gamma=90.00
Fractional positions:
Ag  0.000  0.696  0.460
La  0.500  0.245  0.350
La  0.000  0.007  0.899
Au  0.500  0.552  0.790

Computed, not measured: a geometry-optimized La2AgAu4 structure at the PBE level of DFT.

Summary:
The value obtained for the formation energy is -0.2721 eV per atom. The density of states at the Fermi level comes out at 0.68 states/eV per atom. For the electronic total energy, the calculation gives -27.72 eV per formula unit. The volume comes out at 198.4 Å³/f.u.

Unit cell a=5.092 b=5.092 c=8.457 alpha=72.48 beta=72.48 gamma=90.00
Fractional positions:
Au  0.000  0.500  0.000
Au  0.500  0.000  0.000
Au  0.821  0.821  0.358
Au  0.179  0.179  0.642
La  0.631  0.631  0.738
La  0.369  0.369  0.262
Ag  0.000  0.000  0.000

Computed, not measured: a geometry-optimized La2Ag2Au structure at the PBE level of DFT.

Summary:
The value obtained for the formation energy is -0.3131 eV per atom. The density of states at the Fermi level comes out at 1.15 states/eV per atom. For the electronic total energy, the calculation gives -20.40 eV per formula unit. The volume comes out at 133.6 Å³/f.u.

Unit cell a=3.857 b=3.857 c=9.385 alpha=78.14 beta=78.14 gamma=90.00
Fractional positions:
Au  0.000  0.000  0.000
Ag  0.750  0.250  0.500
Ag  0.250  0.750  0.500
La  0.600  0.600  0.799
La  0.400  0.400  0.201

Computed, not measured: a geometry-optimized La3Ag4Au4 structure at the PBE level of DFT.

Summary:
The value obtained for the formation energy is -0.5037 eV per atom. The density of states at the Fermi level comes out at 0.62 states/eV per atom. For the electronic total energy, the calculation gives -44.84 eV per formula unit. The volume comes out at 261.2 Å³/f.u.

Unit cell a=3.736 b=4.593 c=15.508 alpha=81.51 beta=83.01 gamma=89.98
Fractional positions:
Au  0.315  0.815  0.372
Au  0.546  0.546  0.907
Au  0.454  0.454  0.093
Au  0.685  0.186  0.628
Ag  0.405  0.905  0.191
Ag  0.743  0.743  0.514
Ag  0.257  0.257  0.485
Ag  0.595  0.095  0.809
La  0.143  0.643  0.713
La  0.000  0.000  0.000
La  0.857  0.357  0.287

> What is the formula in the second record?

LaAg2Au8

> Among the records above, which one has the lowest formation energy?

La2AgAu

> Which value of formation energy does entry 1 give?

0.0913 eV per atom